DFT (PBE) results for Zr2Tl2Sn after structural relaxation.

It has space group P4/mbm (No. 127), with a = 7.520 Å, b = 7.520 Å, c = 4.487 Å, α = 90.00°, β = 90.00° and γ = 90.00°. The distinct sites, in fractional coordinates, are Zr at (0.153, 0.347, 0.000), Tl at (0.154, 0.654, 0.500) and Sn at (0.000, 0.000, 0.000).

For the calculated formation energy, the calculation gives -0.07 eV per atom. The energy above the lowest structure with this stoichiometry comes out at 0.000 eV/atom.



DFT (PBE) results for ZrTl2Sn after structural relaxation.

It has space group I-42d (No. 122), with a = 8.372 Å, b = 8.372 Å, c = 6.123 Å, α = 90.00°, β = 90.00° and γ = 90.00°. The distinct sites, in fractional coordinates, are Zr at (0.000, 0.000, 0.000), Tl at (0.247, 0.250, 0.125) and Sn at (0.000, 0.000, 0.500).

For the calculated formation energy, the calculation gives 0.23 eV per atom. The energy above the lowest structure with this stoichiometry comes out at 0.000 eV/atom.



DFT (PBE) results for Zr12TlSn3 after structural relaxation.

It has space group Pmmm (No. 47), with a = 5.647 Å, b = 5.649 Å, c = 11.292 Å, α = 90.00°, β = 90.00° and γ = 90.00°. The distinct sites, in fractional coordinates, are Zr at (0.000, 0.000, 0.124), Zr at (0.000, 0.000, 0.374), Zr at (0.250, 0.500, 0.251), Zr at (0.500, 0.250, 0.000), Zr at (0.500, 0.250, 0.500), Tl at (0.000, 0.500, 0.000), Sn at (0.000, 0.500, 0.500) and Sn at (0.500, 0.000, 0.251).

For the calculated formation energy, the calculation gives -0.30 eV per atom.



DFT (PBE) results for Zr2TlSn2 after structural relaxation.

It has space group P4/mbm (No. 127), with a = 8.897 Å, b = 8.897 Å, c = 3.205 Å, α = 90.00°, β = 90.00° and γ = 90.00°. The distinct sites, in fractional coordinates, are Zr at (0.128, 0.372, 0.000), Tl at (0.000, 0.000, 0.500) and Sn at (0.165, 0.665, 0.500).

For the calculated formation energy, the calculation gives -0.15 eV per atom. The energy above the lowest structure with this stoichiometry comes out at 0.075 eV/atom.